Record 1
# ScMn3Tc | Alexandria | PBE | optimized geometry
data_ScMn3Tc
_symmetry_space_group_name_H-M 'P 1'
_symmetry_Int_Tables_number 1
_symmetry_space_group_name_Hall 'P 1'
_cell_length_a 4.562
_cell_length_b 4.562
_cell_length_c 4.562
_cell_angle_alpha 90.00
_cell_angle_beta 90.00
_cell_angle_gamma 90.00
loop_
_atom_site_label
_atom_site_type_symbol
_atom_site_fract_x
_atom_site_fract_y
_atom_site_fract_z
Sc1 Sc 0.000 0.000 0.000
Mn1 Mn 0.000 0.500 0.500
Mn2 Mn 0.500 0.000 0.500
Mn3 Mn 0.500 0.500 0.000
Tc1 Tc 0.500 0.500 0.500
# offset from the most stable computed form = 0.000 eV per atom
# energy = -39.963 eV per formula unit
# volume = 19.0 Å³/atom
# crystal system = cubic
# formation energy from the elements = 0.85 eV per atom
# total magnetization = 1.548 μB per atom
# calculated density = 5.4 g/cm³

---

Record 2
# ScMnTc2 | Alexandria | PBE | optimized geometry
data_ScMnTc2
_symmetry_space_group_name_H-M 'P 1'
_symmetry_Int_Tables_number 1
_symmetry_space_group_name_Hall 'P 1'
_cell_length_a 5.113
_cell_length_b 5.113
_cell_length_c 5.113
_cell_angle_alpha 145.38
_cell_angle_beta 127.87
_cell_angle_gamma 64.10
loop_
_atom_site_label
_atom_site_type_symbol
_atom_site_fract_x
_atom_site_fract_y
_atom_site_fract_z
Sc1 Sc 0.000 0.000 0.000
Mn1 Mn 0.500 0.500 0.000
Tc1 Tc 0.266 0.766 0.500
Tc2 Tc 0.734 0.234 0.500
# offset from the most stable computed form = 0.040 eV per atom
# energy = -36.198 eV per formula unit
# volume = 14.8 Å³/atom
# crystal system = orthorhombic
# formation energy from the elements = 0.01 eV per atom
# total magnetization = 0.000 μB per atom
# calculated density = 8.3 g/cm³

---

Record 3
# ScMnTc2 | Alexandria | PBE | optimized geometry
data_ScMnTc2
_symmetry_space_group_name_H-M 'P 1'
_symmetry_Int_Tables_number 1
_symmetry_space_group_name_Hall 'P 1'
_cell_length_a 4.358
_cell_length_b 4.358
_cell_length_c 4.358
_cell_angle_alpha 60.00
_cell_angle_beta 60.00
_cell_angle_gamma 60.00
loop_
_atom_site_label
_atom_site_type_symbol
_atom_site_fract_x
_atom_site_fract_y
_atom_site_fract_z
Sc1 Sc 0.000 0.000 0.000
Mn1 Mn 0.750 0.750 0.750
Tc1 Tc 0.250 0.250 0.250
Tc2 Tc 0.500 0.500 0.500
# offset from the most stable computed form = 0.004 eV per atom
# energy = -36.340 eV per formula unit
# volume = 14.6 Å³/atom
# crystal system = cubic
# formation energy from the elements = -0.03 eV per atom
# total magnetization = 0.000 μB per atom
# calculated density = 8.4 g/cm³

---

Record 4
# ScMn2Tc | Alexandria | PBE | optimized geometry
data_ScMn2Tc
_symmetry_space_group_name_H-M 'P 1'
_symmetry_Int_Tables_number 1
_symmetry_space_group_name_Hall 'P 1'
_cell_length_a 4.908
_cell_length_b 4.908
_cell_length_c 2.707
_cell_angle_alpha 100.35
_cell_angle_beta 100.35
_cell_angle_gamma 115.03
loop_
_atom_site_label
_atom_site_type_symbol
_atom_site_fract_x
_atom_site_fract_y
_atom_site_fract_z
Sc1 Sc 0.000 0.000 0.000
Mn1 Mn 0.000 0.500 0.500
Mn2 Mn 0.500 0.000 0.500
Tc1 Tc 0.500 0.500 0.000
# offset from the most stable computed form = 0.158 eV per atom
# energy = -34.292 eV per formula unit
# volume = 13.9 Å³/atom
# crystal system = monoclinic
# formation energy from the elements = 0.19 eV per atom
# total magnetization = 0.450 μB per atom
# calculated density = 7.5 g/cm³

---

Record 5
# ScMnTc | Alexandria | PBE | optimized geometry
data_ScMnTc
_symmetry_space_group_name_H-M 'P 1'
_symmetry_Int_Tables_number 1
_symmetry_space_group_name_Hall 'P 1'
_cell_length_a 5.372
_cell_length_b 5.372
_cell_length_c 5.372
_cell_angle_alpha 147.22
_cell_angle_beta 147.22
_cell_angle_gamma 47.03
loop_
_atom_site_label
_atom_site_type_symbol
_atom_site_fract_x
_atom_site_fract_y
_atom_site_fract_z
Sc1 Sc 0.000 0.000 0.000
Mn1 Mn 0.323 0.323 0.000
Tc1 Tc 0.687 0.687 0.000
# offset from the most stable computed form = 0.151 eV per atom
# energy = -26.051 eV per formula unit
# volume = 15.1 Å³/atom
# crystal system = tetragonal
# formation energy from the elements = -0.06 eV per atom
# total magnetization = 0.000 μB per atom
# calculated density = 7.3 g/cm³

---

Record 6
# ScMnTc2 | Alexandria | PBE | optimized geometry
data_ScMnTc2
_symmetry_space_group_name_H-M 'P 1'
_symmetry_Int_Tables_number 1
_symmetry_space_group_name_Hall 'P 1'
_cell_length_a 3.058
_cell_length_b 3.058
_cell_length_c 6.384
_cell_angle_alpha 90.00
_cell_angle_beta 90.00
_cell_angle_gamma 90.00
loop_
_atom_site_label
_atom_site_type_symbol
_atom_site_fract_x
_atom_site_fract_y
_atom_site_fract_z
Sc1 Sc 0.000 0.000 0.000
Mn1 Mn 0.500 0.500 0.737
Tc1 Tc 0.000 0.000 0.519
Tc2 Tc 0.500 0.500 0.279
# offset from the most stable computed form = 0.031 eV per atom
# energy = -36.232 eV per formula unit
# volume = 14.9 Å³/atom
# crystal system = tetragonal
# formation energy from the elements = 0.00 eV per atom
# total magnetization = 0.000 μB per atom
# calculated density = 8.2 g/cm³

---

Record 7
# ScMnTc2 | Alexandria | PBE | optimized geometry
data_ScMnTc2
_symmetry_space_group_name_H-M 'P 1'
_symmetry_Int_Tables_number 1
_symmetry_space_group_name_Hall 'P 1'
_cell_length_a 4.346
_cell_length_b 4.346
_cell_length_c 4.346
_cell_angle_alpha 60.00
_cell_angle_beta 60.00
_cell_angle_gamma 60.00
loop_
_atom_site_label
_atom_site_type_symbol
_atom_site_fract_x
_atom_site_fract_y
_atom_site_fract_z
Sc1 Sc 0.000 0.000 0.000
Mn1 Mn 0.500 0.500 0.500
Tc1 Tc 0.250 0.250 0.250
Tc2 Tc 0.750 0.750 0.750
# offset from the most stable computed form = 0.104 eV per atom
# energy = -35.939 eV per formula unit
# volume = 14.5 Å³/atom
# crystal system = cubic
# formation energy from the elements = 0.07 eV per atom
# total magnetization = 0.000 μB per atom
# calculated density = 8.5 g/cm³

---

Record 8
# Sc2MnTc3 | Alexandria | PBE | optimized geometry
data_Sc2MnTc3
_symmetry_space_group_name_H-M 'P 1'
_symmetry_Int_Tables_number 1
_symmetry_space_group_name_Hall 'P 1'
_cell_length_a 5.168
_cell_length_b 5.168
_cell_length_c 5.252
_cell_angle_alpha 119.52
_cell_angle_beta 119.52
_cell_angle_gamma 60.04
loop_
_atom_site_label
_atom_site_type_symbol
_atom_site_fract_x
_atom_site_fract_y
_atom_site_fract_z
Sc1 Sc 0.124 0.124 0.372
Sc2 Sc 0.876 0.876 0.628
Mn1 Mn 0.500 0.500 0.500
Tc1 Tc 0.000 0.500 0.000
Tc2 Tc 0.500 0.000 0.000
Tc3 Tc 0.500 0.500 0.000
# energy = -54.443 eV per formula unit
# volume = 16.7 Å³/atom
# crystal system = monoclinic
# formation energy from the elements = -0.25 eV per atom
# total magnetization = 0.350 μB per atom
# calculated density = 7.3 g/cm³

---

Record 9
# ScMn2Tc | Alexandria | PBE | optimized geometry
data_ScMn2Tc
_symmetry_space_group_name_H-M 'P 1'
_symmetry_Int_Tables_number 1
_symmetry_space_group_name_Hall 'P 1'
_cell_length_a 2.739
_cell_length_b 4.261
_cell_length_c 5.064
_cell_angle_alpha 90.00
_cell_angle_beta 99.76
_cell_angle_gamma 90.00
loop_
_atom_site_label
_atom_site_type_symbol
_atom_site_fract_x
_atom_site_fract_y
_atom_site_fract_z
Sc1 Sc 0.000 0.000 0.000
Mn1 Mn 0.313 0.500 0.748
Mn2 Mn 0.518 0.000 0.501
Tc1 Tc 0.740 0.500 0.272
# offset from the most stable computed form = 0.095 eV per atom
# energy = -34.546 eV per formula unit
# volume = 14.6 Å³/atom
# crystal system = monoclinic
# formation energy from the elements = 0.12 eV per atom
# total magnetization = 0.151 μB per atom
# calculated density = 7.2 g/cm³

---

Record 10
# ScMn2Tc | Alexandria | PBE | optimized geometry
data_ScMn2Tc
_symmetry_space_group_name_H-M 'P 1'
_symmetry_Int_Tables_number 1
_symmetry_space_group_name_Hall 'P 1'
_cell_length_a 3.213
_cell_length_b 4.227
_cell_length_c 4.440
_cell_angle_alpha 90.00
_cell_angle_beta 90.00
_cell_angle_gamma 90.00
loop_
_atom_site_label
_atom_site_type_symbol
_atom_site_fract_x
_atom_site_fract_y
_atom_site_fract_z
Sc1 Sc 0.000 0.000 0.000
Mn1 Mn 0.000 0.500 0.500
Mn2 Mn 0.500 0.000 0.500
Tc1 Tc 0.500 0.500 0.000
# offset from the most stable computed form = 0.041 eV per atom
# energy = -34.763 eV per formula unit
# volume = 15.1 Å³/atom
# crystal system = orthorhombic
# formation energy from the elements = 0.07 eV per atom
# total magnetization = 0.020 μB per atom
# calculated density = 7.0 g/cm³

---

Number 1: density of states at the Fermi level 6.76 states/eV/f.u.. Number 2: density of states at the Fermi level 3.90 states/eV/f.u.. Number 3: density of states at the Fermi level 2.33 states/eV/f.u.. Number 4: density of states at the Fermi level 5.38 states/eV/f.u.. Number 5: density of states at the Fermi level 1.88 states/eV/f.u.. Number 6: density of states at the Fermi level 3.16 states/eV/f.u.. Number 7: density of states at the Fermi level 5.59 states/eV/f.u.. Number 8: density of states at the Fermi level 6.33 states/eV/f.u.. Number 9: density of states at the Fermi level 3.68 states/eV/f.u.. Number 10: density of states at the Fermi level 3.70 states/eV/f.u..